ZrTeHCl: optimized geometry, PBE.

## Properties
Crystal system = trigonal
Electronic total energy = -5.31 eV per atom

Unit cell a=3.6503 b=3.6503 c=22.8619 alpha=90.00 beta=90.00 gamma=120.00
Space group R3m (No. 160, hexagonal axes)
Inequivalent atoms, fractional coordinates:
1 Zr 0.0000 0.0000 0.0000 [3 per cell]
2 Te 0.0000 0.0000 0.2455 [3 per cell]
3 H 0.0000 0.0000 0.6645 [3 per cell]
4 Cl 0.0000 0.0000 0.4086 [3 per cell]